Computed, not measured: an optimized crystal structure of La4PdRh at the PBE-GGA level of DFT.

Calculated values
* density of states at the Fermi level: 28.60 states/eV/cell
* formation energy: -0.507 eV per atom

abc: 8.586 15.293 7.206
angles: 90.00 126.14 90.00
Space group C2/c (No. 15)
Asymmetric unit:
1 La 0.226 0.212 0.230 (multiplicity 8)
2 La 0.246 0.044 0.746 (multiplicity 8)
3 Pd 0.000 0.404 0.750 (multiplicity 4)
4 Rh 0.000 0.088 0.250 (multiplicity 4)

Computed, not measured: an optimized crystal structure of Er6Ni20As13 at the PBE-GGA level of DFT.

Calculated values
* density of states at the Fermi level: 26.46 states/eV/cell
* formation energy: -0.687 eV per atom

abc: 13.1066 13.1066 3.8590
angles: 90.00 90.00 120.00
Space group P-6 (No. 174)
Asymmetric unit:
1 Er 0.0531 0.1961 0.0000 (multiplicity 3)
2 Er 0.5225 0.3840 0.5000 (multiplicity 3)
3 Ni 0.0000 0.0000 0.5000 (multiplicity 1)
4 Ni 0.0173 0.4199 0.0000 (multiplicity 3)
5 Ni 0.0863 0.7424 0.5000 (multiplicity 3)
6 Ni 0.1334 0.5751 0.5000 (multiplicity 3)
7 Ni 0.2530 0.5177 0.0000 (multiplicity 3)
8 Ni 0.3132 0.2307 0.0000 (multiplicity 3)
9 Ni 0.3531 0.1024 0.5000 (multiplicity 3)
10 Ni 0.6667 0.3333 0.0000 (multiplicity 1)
11 As 0.0520 0.6183 0.0000 (multiplicity 3)
12 As 0.1026 0.3833 0.5000 (multiplicity 3)
13 As 0.1945 0.1406 0.5000 (multiplicity 3)
14 As 0.3333 0.6667 0.5000 (multiplicity 1)
15 As 0.4719 0.1903 0.0000 (multiplicity 3)

Computed, not measured: an optimized crystal structure of Y11Cd9Ni4 at the PBE-GGA level of DFT.

Calculated values
* density of states at the Fermi level: 39.28 states/eV/cell
* formation energy: -0.398 eV per atom

abc: 14.544 21.874 3.582
angles: 90.00 90.00 90.00
Space group Cmmm (No. 65)
Asymmetric unit:
1 Y 0.000 0.000 0.000 (multiplicity 2)
2 Y 0.000 0.161 0.000 (multiplicity 4)
3 Y 0.000 0.373 0.000 (multiplicity 4)
4 Y 0.190 0.500 0.000 (multiplicity 4)
5 Y 0.250 0.167 0.000 (multiplicity 8)
6 Cd 0.000 0.500 0.500 (multiplicity 2)
7 Cd 0.104 0.262 0.500 (multiplicity 8)
8 Cd 0.147 0.071 0.500 (multiplicity 8)
9 Ni 0.149 0.400 0.500 (multiplicity 8)

Computed, not measured: an optimized crystal structure of InAs2SeBr at the PBE-GGA level of DFT.

Calculated values
* formation energy (no corrections): 0.48 eV/atom
* excess energy over the best structure of this formula in the dataset: 0 meV per atom
* density of states at the Fermi level: 3.84 states/eV/cell

abc: 5.096 5.096 5.676
angles: 90.00 90.00 90.00
Space group P4/mmm (No. 123)
Asymmetric unit:
1 In 0.000 0.000 0.000 (multiplicity 1)
2 As 0.000 0.500 0.500 (multiplicity 2)
3 Se 0.500 0.500 0.500 (multiplicity 1)
4 Br 0.500 0.500 0.000 (multiplicity 1)

Computed, not measured: an optimized crystal structure of ScCrCd2Rh at the PBE-GGA level of DFT.

Calculated values
* density of states at the Fermi level: 5.88 states/eV/cell
* formation energy: 0.958 eV per atom

abc: 4.987 4.987 4.579
angles: 90.00 90.00 90.00
Space group P4/mmm (No. 123)
Asymmetric unit:
1 Sc 0.000 0.000 0.000 (multiplicity 1)
2 Cr 0.000 0.000 0.500 (multiplicity 1)
3 Cd 0.000 0.500 0.500 (multiplicity 2)
4 Rh 0.500 0.500 0.000 (multiplicity 1)

Computed, not measured: an optimized crystal structure of AlZn2Sb4 at the PBE-GGA level of DFT.

Calculated values
* formation energy (no corrections): 0.38 eV/atom
* density of states at the Fermi level: 9.51 states/eV/cell

abc: 5.362 5.362 13.362
angles: 90.00 90.00 90.00
Space group I4/mmm (No. 139)
Asymmetric unit:
1 Al 0.000 0.000 0.000 (multiplicity 2)
2 Zn 0.000 0.000 0.406 (multiplicity 4)
3 Sb 0.000 0.000 0.213 (multiplicity 4)
4 Sb 0.000 0.500 0.000 (multiplicity 4)

Computed, not measured: an optimized crystal structure of CeDy6Tm at the PBE-GGA level of DFT.

Calculated values
* excess energy over the best structure of this formula in the dataset: 177 meV per atom
* density of states at the Fermi level: 16.70 states/eV/cell
* formation energy: 0.223 eV per atom

abc: 6.471 6.738 6.849
angles: 119.14 101.93 90.56
Space group P-1 (No. 2)
Asymmetric unit:
1 Ce 0.000 0.000 0.000 (multiplicity 1)
2 Dy 0.230 0.904 0.480 (multiplicity 2)
3 Dy 0.250 0.448 0.002 (multiplicity 2)
4 Dy 0.268 0.428 0.523 (multiplicity 2)
5 Tm 0.500 0.000 0.000 (multiplicity 1)

Computed, not measured: an optimized crystal structure of Sc2InTe at the PBE-GGA level of DFT.

Calculated values
* formation energy (no corrections): -0.69 eV/atom
* excess energy over the best structure of this formula in the dataset: 0 meV per atom
* density of states at the Fermi level: 7.45 states/eV/cell

abc: 3.8915 3.8915 23.1492
angles: 90.00 90.00 120.00
Space group R-3m (No. 166, hexagonal axes)
Asymmetric unit:
1 Sc 0.0000 0.0000 0.2471 (multiplicity 6)
2 In 0.0000 0.0000 0.0000 (multiplicity 3)
3 Te 0.0000 0.0000 0.5000 (multiplicity 3)

The records above yield size of the total moment values of 0.00 0.00 0.00 0.72 3.31 0.00 1.49 0.00 μB per formula unit, respectively.